# 1
Density functional theory data (PBE-GGA) for a relaxed Tb4SmTm2 crystal.

Structure (POSCAR):
```
Tb4SmTm2
1.0
-0.906 2.298 2.508
1.541 -6.040 6.090
6.636 3.898 -3.645
Tb Tm Sm
4 2 1
direct
0.361 0.169 0.722
0.704 0.294 0.409
0.639 0.831 0.278
0.296 0.706 0.591
0.930 0.570 0.859
0.070 0.430 0.141
0.000 0.000 0.000
```

Results
Distance to the lowest polymorph of the same formula, kJ/mol of atoms: 0.00
D(E_F), states/eV/cell: 10.65
Crystal system: monoclinic
Space-group type: No. 12
Total moment, μB/f.u.: 0.00
Energy of formation from the pure elements, kJ/mol of formula units: 23

---

# 2
Density functional theory data (PBE-GGA) for a relaxed Tb6Sm19Tm4 crystal.

Structure (POSCAR):
```
Tb6Sm19Tm4
1.0
-9.035 -6.010 0.705
5.957 -3.387 -8.444
5.771 -1.043 9.158
Tm Sm Tb
4 19 6
direct
0.359 0.359 0.359
0.000 0.000 0.641
0.641 0.000 0.000
0.000 0.641 0.000
0.020 0.802 0.344
0.458 0.676 0.656
0.741 0.000 0.741
0.259 0.259 0.000
0.000 0.000 0.000
0.782 0.980 0.324
0.741 0.741 0.000
0.000 0.741 0.741
0.259 0.000 0.259
0.542 0.198 0.218
0.676 0.656 0.458
0.324 0.782 0.980
0.344 0.020 0.802
0.980 0.324 0.782
0.198 0.218 0.542
0.802 0.344 0.020
0.218 0.542 0.198
0.000 0.259 0.259
0.656 0.458 0.676
0.125 0.625 0.500
0.875 0.375 0.500
0.500 0.874 0.375
0.625 0.500 0.125
0.375 0.500 0.875
0.500 0.126 0.625
```

Results
D(E_F), states/eV/cell: 41.48
Crystal system: cubic
Space-group type: No. 197
Total moment, μB/f.u.: 0.00
Energy of formation from the pure elements, kJ/mol of formula units: 1020

---

# 3
Density functional theory data (PBE-GGA) for a relaxed Tb11Sm9Tm4 crystal.

Structure (POSCAR):
```
Tb11Sm9Tm4
1.0
-1.723 0.430 -3.211
-3.314 -14.904 -0.220
-10.674 8.491 6.865
Tb Sm Tm
11 9 4
direct
0.000 0.405 0.044
0.000 0.162 0.838
0.000 0.838 0.162
0.000 0.631 0.369
0.000 0.595 0.956
0.000 0.369 0.631
0.000 0.956 0.595
0.000 0.000 0.000
0.000 0.044 0.405
0.000 0.291 0.291
0.000 0.709 0.709
0.500 0.371 0.835
0.500 0.214 0.066
0.500 0.934 0.786
0.500 0.835 0.371
0.500 0.629 0.165
0.500 0.066 0.214
0.500 0.786 0.934
0.500 0.500 0.500
0.500 0.165 0.629
0.500 0.444 0.242
0.500 0.242 0.444
0.500 0.556 0.758
0.500 0.758 0.556
```

Results
D(E_F), states/eV/cell: 31.71
Crystal system: orthorhombic
Space-group type: No. 65
Total moment, μB/f.u.: 0.00
Energy of formation from the pure elements, kJ/mol of formula units: 120

---

# 4
Density functional theory data (PBE-GGA) for a relaxed Tb2SmTm crystal.

Structure (POSCAR):
```
Tb2SmTm
1.0
3.556 0.000 0.000
0.000 3.556 0.000
0.000 0.000 10.076
Tm Tb Sm
1 2 1
direct
0.500 0.500 0.000
0.000 0.000 0.245
0.000 0.000 0.755
0.500 0.500 0.500
```

Results
Distance to the lowest polymorph of the same formula, kJ/mol of atoms: 0.82
D(E_F), states/eV/cell: 5.07
Crystal system: tetragonal
Space-group type: No. 123
Total moment, μB/f.u.: 0.00
Energy of formation from the pure elements, kJ/mol of formula units: 8

---

# 5
Density functional theory data (PBE-GGA) for a relaxed Tb3Sm4Tm3 crystal.

Structure (POSCAR):
```
Tb3Sm4Tm3
1.0
-1.619 3.305 0.822
-6.459 -4.404 4.987
5.319 0.726 7.561
Tm Sm Tb
3 4 3
direct
0.500 0.331 0.331
0.500 0.831 0.169
0.500 0.669 0.669
0.000 0.629 0.371
0.000 0.129 0.131
0.000 0.371 0.629
0.000 0.869 0.871
0.000 0.502 0.001
0.000 0.999 0.498
0.500 0.169 0.831
```

Results
D(E_F), states/eV/cell: 8.01
Crystal system: orthorhombic
Space-group type: No. 38
Total moment, μB/f.u.: 0.00
Energy of formation from the pure elements, kJ/mol of formula units: 90

---

# 6
Density functional theory data (PBE-GGA) for a relaxed TbSm5Tm2 crystal.

Structure (POSCAR):
```
TbSm5Tm2
1.0
5.063 0.000 0.000
0.000 7.170 0.000
0.000 0.000 14.339
Sm Tm Tb
10 4 2
direct
0.000 0.500 0.249
0.000 0.000 0.251
0.000 0.500 0.500
0.000 0.000 0.749
0.000 0.000 0.000
0.000 0.500 0.751
0.500 0.751 0.625
0.500 0.249 0.375
0.500 0.251 0.875
0.500 0.749 0.125
0.500 0.250 0.124
0.500 0.750 0.376
0.500 0.250 0.624
0.500 0.750 0.876
0.000 0.500 0.000
0.000 0.000 0.500
```

Results
Distance to the lowest polymorph of the same formula, kJ/mol of atoms: 0.00
D(E_F), states/eV/cell: 22.83
Crystal system: orthorhombic
Space-group type: No. 55
Total moment, μB/f.u.: 0.00
Energy of formation from the pure elements, kJ/mol of formula units: 13

---

# 7
Density functional theory data (PBE-GGA) for a relaxed Tb12Sm2Tm5 crystal.

Structure (POSCAR):
```
Tb12Sm2Tm5
1.0
9.194 0.000 0.000
-4.597 11.363 -1.753
0.000 -5.255 6.699
Tb Tm Sm
12 5 2
direct
0.819 0.252 0.595
0.440 0.880 0.213
0.663 0.688 0.930
0.975 0.312 0.070
0.093 0.186 0.303
0.181 0.748 0.405
0.025 0.688 0.930
0.434 0.252 0.595
0.566 0.748 0.405
0.560 0.120 0.787
0.907 0.814 0.697
0.337 0.312 0.070
0.231 0.463 0.889
0.697 0.395 0.383
0.769 0.537 0.111
0.000 0.000 0.500
0.303 0.605 0.617
0.680 0.000 0.000
0.320 0.000 0.000
```

Results
Distance to the lowest polymorph of the same formula, kJ/mol of atoms: 0.94
D(E_F), states/eV/cell: 27.67
Crystal system: monoclinic
Space-group type: No. 12
Total moment, μB/f.u.: 0.00
Energy of formation from the pure elements, kJ/mol of formula units: 241

---

# 8
Density functional theory data (PBE-GGA) for a relaxed TbSmTm6 crystal.

Structure (POSCAR):
```
TbSmTm6
1.0
-1.157 -4.829 -0.188
1.060 -0.065 -4.855
9.425 -2.340 2.088
Tm Tb Sm
6 1 1
direct
0.000 0.500 0.751
0.500 0.000 0.751
0.500 0.500 0.500
0.000 0.500 0.249
0.500 0.000 0.249
0.500 0.500 0.000
0.000 0.000 0.000
0.000 0.000 0.500
```

Results
D(E_F), states/eV/cell: 11.22
Crystal system: tetragonal
Space-group type: No. 123
Total moment, μB/f.u.: 0.00
Energy of formation from the pure elements, kJ/mol of formula units: 20